Crystalline DyZrSi2O8 at its relaxed geometry. Source: Alexandria, functional PBE-GGA.

abc: 6.858 6.858 6.120
angles: 90.00 90.00 90.00
Space group I-4m2 (No. 119)
Unique sites:
1 Dy 0.000 0.000 0.000 (multiplicity 2)
2 Zr 0.000 0.500 0.750 (multiplicity 2)
3 Si 0.000 0.000 0.500 (multiplicity 2)
4 Si 0.000 0.500 0.250 (multiplicity 2)
5 O 0.000 0.188 0.667 (multiplicity 8)
6 O 0.000 0.323 0.071 (multiplicity 8)



Crystalline MgSiAg at its relaxed geometry. Source: Alexandria, functional PBE-GGA.

abc: 3.0532 3.0532 6.5945
angles: 90.00 90.00 120.00
Space group P3m1 (No. 156)
Unique sites:
1 Mg 0.0000 0.0000 0.0000 (multiplicity 1)
2 Si 0.3333 0.6667 0.3363 (multiplicity 1)
3 Ag 0.6667 0.3333 0.6534 (multiplicity 1)



no.,calculated volume (A^3/atom),final energy (Ry per atom)
1,11.99,-0.606
2,17.75,-0.232